Na2TmBiO4 | GGA-PBE | optimized geometry

Computed properties:
Formation energy (no corrections) = -2.093 eV per atom
Total energy = -5.95 eV per atom
N(E_F) = 0.0000 states/eV/atom

Lattice parameters (Å, degrees): 3.441 6.017 5.976 109.48 90.00 90.00
Fractional coordinates of all 8 atoms:
1 Na 0.500 0.000 0.500
2 Na 0.000 0.500 0.500
3 Tm 0.500 0.500 0.000
4 Bi 0.000 0.000 0.000
5 O 0.500 0.259 0.223
6 O 0.500 0.741 0.777
7 O 0.000 0.277 0.788
8 O 0.000 0.723 0.212

---

Na4Tm3BiO8 | GGA-PBE | optimized geometry

Computed properties:
Formation energy (no corrections) = -2.480 eV per atom
Total energy = -6.37 eV per atom
N(E_F) = 0.0000 states/eV/atom

Lattice parameters (Å, degrees): 6.824 6.842 6.825 119.90 120.00 90.00
Fractional coordinates of all 16 atoms:
1 Na 0.500 0.000 0.000
2 Na 0.500 0.000 0.500
3 Na 0.000 0.000 0.000
4 Na 0.000 0.000 0.500
5 Tm 0.500 0.500 0.000
6 Tm 0.500 0.500 0.500
7 Tm 0.000 0.500 0.500
8 Bi 0.000 0.500 0.000
9 O 0.246 0.715 0.969
10 O 0.246 0.715 0.492
11 O 0.264 0.293 0.529
12 O 0.723 0.715 0.969
13 O 0.277 0.285 0.031
14 O 0.736 0.707 0.471
15 O 0.754 0.285 0.508
16 O 0.754 0.285 0.031

---

NaUBiO6 | GGA-PBE | optimized geometry

Computed properties:
Formation energy (no corrections) = -1.869 eV per atom
Total energy = -7.01 eV per atom

Lattice parameters (Å, degrees): 5.678 5.678 10.346 90.00 90.00 120.00
Fractional coordinates of all 18 atoms:
1 Na 0.000 0.000 0.000
2 Na 0.000 0.000 0.500
3 U 0.333 0.667 0.250
4 U 0.667 0.333 0.750
5 Bi 0.667 0.333 0.250
6 Bi 0.333 0.667 0.750
7 O 0.632 0.637 0.140
8 O 0.005 0.368 0.140
9 O 0.368 0.005 0.640
10 O 0.995 0.632 0.860
11 O 0.363 0.368 0.360
12 O 0.005 0.637 0.360
13 O 0.637 0.005 0.860
14 O 0.632 0.995 0.360
15 O 0.995 0.363 0.640
16 O 0.363 0.995 0.140
17 O 0.637 0.632 0.640
18 O 0.368 0.363 0.860

---

NaUBi2O8 | GGA-PBE | optimized geometry

Computed properties:
Formation energy (no corrections) = -1.728 eV per atom
Total energy = -6.73 eV per atom
N(E_F) = 0.2467 states/eV/atom

Lattice parameters (Å, degrees): 5.197 5.192 6.801 90.00 90.00 88.01
Fractional coordinates of all 12 atoms:
1 Na 0.000 0.000 0.500
2 U 0.000 0.000 0.000
3 Bi 0.500 0.500 0.746
4 Bi 0.500 0.500 0.254
5 O 0.191 0.808 0.215
6 O 0.692 0.694 0.000
7 O 0.809 0.192 0.215
8 O 0.809 0.192 0.785
9 O 0.308 0.306 0.000
10 O 0.191 0.808 0.785
11 O 0.683 0.685 0.500
12 O 0.317 0.315 0.500